Record 1
DFT (GGA-PBE) results for a geometry-optimized GaFeRe2Se structure.

Unit cell a=4.489 b=4.489 c=4.393 alpha=90.00 beta=90.00 gamma=90.00
Sites, in units of the cell vectors:
Ga (0.000, 0.000, 0.000)
Fe (0.000, 0.000, 0.500)
Re (0.000, 0.500, 0.500)
Re (0.500, 0.000, 0.500)
Se (0.500, 0.500, 0.000)

Density = 10.824 g/cm³
E_form (uncorrected) = 1.230 eV/atom
V = 88.5 Å³/f.u.
Spin magnetization = 0.00 μB per cell
Symmetry = P4/mmm, No. 123

Record 2
DFT (GGA-PBE) results for a geometry-optimized Be2GeSe structure.

Unit cell a=6.105 b=6.105 c=6.105 alpha=126.82 beta=126.82 gamma=78.55
Sites, in units of the cell vectors:
Be (0.105, 0.625, 0.980)
Be (0.375, 0.355, 0.480)
Be (0.645, 0.125, 0.020)
Be (0.875, 0.895, 0.520)
Ge (0.250, 0.750, 0.500)
Ge (0.500, 0.500, 0.000)
Se (0.000, 0.000, 0.000)
Se (0.750, 0.250, 0.500)

Density = 3.991 g/cm³
Energy above the most stable polymorph in this dataset = 0.0 meV per atom
E_form (uncorrected) = 0.043 eV/atom
V = 70.6 Å³/f.u.
Spin magnetization = 0.00 μB per cell
Symmetry = I-42d, No. 122

Record 3
DFT (GGA-PBE) results for a geometry-optimized CaCoW2 structure.

Unit cell a=8.900 b=8.900 c=8.900 alpha=148.24 beta=148.24 gamma=45.53
Sites, in units of the cell vectors:
Ca (0.000, 0.000, 0.000)
Ca (0.750, 0.250, 0.500)
Co (0.250, 0.750, 0.500)
Co (0.500, 0.500, 0.000)
W (0.365, 0.625, 0.240)
W (0.375, 0.615, 0.740)
W (0.385, 0.125, 0.760)
W (0.875, 0.635, 0.260)

Density = 7.961 g/cm³
Energy above the most stable polymorph in this dataset = 830.8 meV per atom
V = 97.3 Å³/f.u.
Spin magnetization = 0.00 μB per cell
DFT formation energy = 1313 meV/atom
Symmetry = I-42d, No. 122

Record 4
DFT (GGA-PBE) results for a geometry-optimized HfTa2B2Ru5 structure.

Unit cell a=9.467 b=9.467 c=3.057 alpha=90.00 beta=90.00 gamma=90.00
Sites, in units of the cell vectors:
Hf (0.000, 0.000, 0.000)
Hf (0.500, 0.500, 0.000)
Ta (0.177, 0.323, 0.000)
Ta (0.323, 0.823, 0.000)
Ta (0.677, 0.177, 0.000)
Ta (0.823, 0.677, 0.000)
B (0.122, 0.622, 0.000)
B (0.378, 0.122, 0.000)
B (0.622, 0.878, 0.000)
B (0.878, 0.378, 0.000)
Ru (0.000, 0.500, 0.500)
Ru (0.072, 0.779, 0.500)
Ru (0.221, 0.072, 0.500)
Ru (0.279, 0.572, 0.500)
Ru (0.428, 0.279, 0.500)
Ru (0.500, 0.000, 0.500)
Ru (0.572, 0.721, 0.500)
Ru (0.721, 0.428, 0.500)
Ru (0.779, 0.928, 0.500)
Ru (0.928, 0.221, 0.500)

Density = 12.938 g/cm³
V = 137.0 Å³/f.u.
Spin magnetization = 0.00 μB per cell
DFT formation energy = -553 meV/atom
Symmetry = P4/mbm, No. 127

Record 5
DFT (GGA-PBE) results for a geometry-optimized YMg2Zn structure.

Unit cell a=9.873 b=9.873 c=9.873 alpha=19.86 beta=19.86 gamma=19.86
Sites, in units of the cell vectors:
Y (0.000, 0.000, 0.000)
Mg (0.238, 0.238, 0.238)
Mg (0.762, 0.762, 0.762)
Zn (0.500, 0.500, 0.500)

Density = 3.469 g/cm³
V = 97.1 Å³/f.u.
Spin magnetization = 0.00 μB per cell
DFT formation energy = 40 meV/atom
Symmetry = R-3m, No. 166

Record 6
DFT (GGA-PBE) results for a geometry-optimized MgIn4PbSe8 structure.

Unit cell a=8.260 b=8.260 c=8.260 alpha=59.99 beta=59.99 gamma=59.99
Sites, in units of the cell vectors:
Mg (0.000, 0.000, 0.000)
In (0.375, 0.375, 0.888)
In (0.375, 0.888, 0.375)
In (0.759, 0.759, 0.759)
In (0.888, 0.375, 0.375)
Pb (0.374, 0.374, 0.374)
Se (0.121, 0.121, 0.613)
Se (0.121, 0.613, 0.121)
Se (0.134, 0.134, 0.134)
Se (0.153, 0.628, 0.628)
Se (0.613, 0.121, 0.121)
Se (0.622, 0.622, 0.622)
Se (0.628, 0.153, 0.628)
Se (0.628, 0.628, 0.153)

Density = 5.511 g/cm³
E_form (uncorrected) = -0.565 eV/atom
V = 398.5 Å³/f.u.
Spin magnetization = 0.00 μB per cell
Symmetry = R3m, No. 160

Record 7
DFT (GGA-PBE) results for a geometry-optimized DyHo2Rh2 structure.

Unit cell a=13.240 b=13.240 c=4.611 alpha=90.00 beta=90.00 gamma=163.57
Sites, in units of the cell vectors:
Dy (0.137, 0.863, 0.750)
Dy (0.863, 0.137, 0.250)
Ho (0.235, 0.765, 0.250)
Ho (0.448, 0.552, 0.750)
Ho (0.552, 0.448, 0.250)
Ho (0.765, 0.235, 0.750)
Rh (0.033, 0.967, 0.750)
Rh (0.339, 0.661, 0.750)
Rh (0.661, 0.339, 0.250)
Rh (0.967, 0.033, 0.250)

Density = 10.141 g/cm³
Energy above the most stable polymorph in this dataset = 83.9 meV per atom
V = 114.3 Å³/f.u.
Spin magnetization = 0.00 μB per cell
DFT formation energy = -634 meV/atom
Symmetry = Cmcm, No. 63

Record 8
DFT (GGA-PBE) results for a geometry-optimized SrPm3Hg6 structure.

Unit cell a=9.516 b=5.289 c=11.556 alpha=90.00 beta=106.91 gamma=90.00
Sites, in units of the cell vectors:
Sr (0.061, 0.250, 0.392)
Sr (0.939, 0.750, 0.608)
Pm (0.223, 0.250, 0.013)
Pm (0.358, 0.750, 0.802)
Pm (0.490, 0.250, 0.620)
Pm (0.510, 0.750, 0.380)
Pm (0.642, 0.250, 0.198)
Pm (0.777, 0.750, 0.987)
Hg (0.067, 0.750, 0.899)
Hg (0.145, 0.750, 0.196)
Hg (0.177, 0.250, 0.706)
Hg (0.265, 0.750, 0.517)
Hg (0.349, 0.250, 0.298)
Hg (0.462, 0.750, 0.086)
Hg (0.538, 0.250, 0.914)
Hg (0.651, 0.750, 0.702)
Hg (0.735, 0.250, 0.483)
Hg (0.823, 0.750, 0.294)
Hg (0.855, 0.250, 0.804)
Hg (0.933, 0.250, 0.101)

Density = 10.303 g/cm³
V = 278.2 Å³/f.u.
Spin magnetization = 0.00 μB per cell
DFT formation energy = -438 meV/atom
Symmetry = P2_1/m, No. 11

Record 9
DFT (GGA-PBE) results for a geometry-optimized Sm2Cu2Ni structure.

Unit cell a=5.571 b=5.571 c=11.091 alpha=115.18 beta=115.18 gamma=41.82
Sites, in units of the cell vectors:
Sm (0.052, 0.052, 0.357)
Sm (0.202, 0.202, 0.118)
Sm (0.798, 0.798, 0.882)
Sm (0.948, 0.948, 0.643)
Cu (0.370, 0.370, 0.421)
Cu (0.489, 0.489, 0.114)
Cu (0.511, 0.511, 0.886)
Cu (0.630, 0.630, 0.579)
Ni (0.269, 0.269, 0.683)
Ni (0.731, 0.731, 0.317)

Density = 7.908 g/cm³
V = 102.2 Å³/f.u.
Spin magnetization = 0.00 μB per cell
DFT formation energy = -273 meV/atom
Symmetry = C2/m, No. 12

Record 10
DFT (GGA-PBE) results for a geometry-optimized Ca2TeSe structure.

Unit cell a=5.406 b=5.406 c=3.836 alpha=95.61 beta=95.61 gamma=89.96
Sites, in units of the cell vectors:
Ca (0.000, 0.500, 0.000)
Ca (0.500, 0.000, 0.000)
Te (0.000, 0.000, 0.500)
Se (0.500, 0.500, 0.500)

Density = 4.288 g/cm³
Energy above the most stable polymorph in this dataset = 339.9 meV per atom
E_form (uncorrected) = -1.482 eV/atom
V = 111.0 Å³/f.u.
Spin magnetization = 0.00 μB per cell
Symmetry = C2/m, No. 12

Record 11
DFT (GGA-PBE) results for a geometry-optimized Tm5Tl4Au structure.

Unit cell a=3.577 b=3.577 c=20.091 alpha=90.00 beta=90.00 gamma=90.00
Sites, in units of the cell vectors:
Tm (0.000, 0.000, 0.000)
Tm (0.000, 0.000, 0.207)
Tm (0.000, 0.000, 0.414)
Tm (0.000, 0.000, 0.586)
Tm (0.000, 0.000, 0.793)
Tl (0.500, 0.500, 0.103)
Tl (0.500, 0.500, 0.309)
Tl (0.500, 0.500, 0.691)
Tl (0.500, 0.500, 0.897)
Au (0.500, 0.500, 0.500)

Density = 12.007 g/cm³
V = 257.1 Å³/f.u.
Spin magnetization = 0.05 μB per cell
DFT formation energy = -434 meV/atom
Symmetry = P4/mmm, No. 123

Record 12
DFT (GGA-PBE) results for a geometry-optimized NdErP2Rh5 structure.

Unit cell a=4.064 b=4.064 c=10.616 alpha=90.00 beta=90.00 gamma=90.00
Sites, in units of the cell vectors:
Nd (0.000, 0.000, 0.000)
Er (0.000, 0.000, 0.500)
P (0.500, 0.500, 0.214)
P (0.500, 0.500, 0.786)
Rh (0.000, 0.500, 0.307)
Rh (0.000, 0.500, 0.693)
Rh (0.500, 0.000, 0.307)
Rh (0.500, 0.000, 0.693)
Rh (0.500, 0.500, 0.000)

Density = 8.410 g/cm³
V = 175.3 Å³/f.u.
Spin magnetization = 0.00 μB per cell
DFT formation energy = -769 meV/atom
Symmetry = P4/mmm, No. 123